1.
PmSc2Sn | GGA-PBE | optimized geometry

Lattice parameters (Å, degrees): 4.448 4.554 10.975 90.00 101.68 90.00
Site moments in Bohr magnetons follow the coordinates.
Sites, in units of the cell vectors:
Sc1 0.446 0.750 0.893  0.01
Sc2 0.061 0.750 0.121  0.02
Sc3 0.554 0.250 0.107  0.01
Sc4 0.939 0.250 0.879  0.02
Sn1 0.156 0.250 0.313  -0.01
Sn2 0.844 0.750 0.687  -0.01
Pm1 0.310 0.250 0.619  0.06
Pm2 0.690 0.750 0.381  0.06

crystal system: orthorhombic
Fermi-level density of states: 11.2 states/eV/cell
magnetization: 0.40 μB per cell
raw total energy: -5.818 eV per atom



2.
Pm5Sc2Sn5 | GGA-PBE | optimized geometry

Lattice parameters (Å, degrees): 4.739 6.701 13.224 114.90 90.00 110.71
Sites, in units of the cell vectors:
Pm1 0.690 0.380 0.292
Pm2 0.310 0.620 0.708
Pm3 0.500 0.000 0.500
Pm4 0.338 0.676 0.981
Pm5 0.662 0.324 0.019
Sc1 0.042 0.084 0.789
Sc2 0.958 0.916 0.211
Sn1 0.324 0.647 0.219
Sn2 0.851 0.703 0.559
Sn3 0.000 0.000 0.000
Sn4 0.149 0.297 0.441
Sn5 0.676 0.353 0.781

crystal system: monoclinic
Fermi-level density of states: 10.9 states/eV/cell
magnetization: 0.00 μB per cell
raw total energy: -5.244 eV per atom



3.
PmScSn2 | GGA-PBE | optimized geometry

Lattice parameters (Å, degrees): 4.475 4.769 4.769 90.00 90.00 90.00
Sites, in units of the cell vectors:
Sc1 0.500 0.500 0.500
Pm1 0.500 0.000 0.000
Sn1 0.000 0.000 0.500
Sn2 0.000 0.500 0.000

crystal system: tetragonal
Fermi-level density of states: 3.6 states/eV/cell
magnetization: 0.00 μB per cell
raw total energy: -5.363 eV per atom



4.
Pm2Sc3Sn2 | GGA-PBE | optimized geometry

Lattice parameters (Å, degrees): 4.334 6.291 8.231 111.36 90.00 110.15
Sites, in units of the cell vectors:
Sc1 0.500 0.000 0.000
Sc2 0.618 0.237 0.441
Sc3 0.382 0.763 0.559
Sn1 0.840 0.681 0.782
Sn2 0.160 0.319 0.218
Pm1 0.139 0.279 0.793
Pm2 0.861 0.721 0.207

crystal system: monoclinic
Fermi-level density of states: 9.5 states/eV/cell
magnetization: 0.01 μB per cell
raw total energy: -5.685 eV per atom



5.
Pm5ScSn4 | GGA-PBE | optimized geometry

Lattice parameters (Å, degrees): 3.715 9.532 9.797 105.42 100.93 90.00
Sites, in units of the cell vectors:
Sn1 0.662 0.085 0.324
Sn2 0.338 0.915 0.676
Sn3 0.999 0.760 0.998
Sn4 0.001 0.240 0.002
Pm1 0.170 0.361 0.341
Pm2 0.830 0.639 0.659
Pm3 0.831 0.182 0.662
Pm4 0.169 0.818 0.338
Pm5 0.500 0.500 0.000
Sc1 0.500 0.000 0.000

crystal system: monoclinic
Fermi-level density of states: 8.8 states/eV/cell
magnetization: 0.00 μB per cell
raw total energy: -4.947 eV per atom



6.
Pm4Sc3Sn4 | GGA-PBE | optimized geometry

Lattice parameters (Å, degrees): 4.610 6.389 11.469 90.00 90.00 111.15
Sites, in units of the cell vectors:
Sn1 0.954 0.909 0.500
Sn2 0.760 0.521 0.783
Sn3 0.923 0.845 0.000
Sn4 0.760 0.521 0.217
Pm1 0.069 0.138 0.245
Pm2 0.660 0.320 0.500
Pm3 0.069 0.138 0.755
Pm4 0.592 0.183 0.000
Sc1 0.283 0.566 0.000
Sc2 0.364 0.728 0.352
Sc3 0.364 0.728 0.648

crystal system: orthorhombic
Fermi-level density of states: 13.4 states/eV/cell
magnetization: 0.00 μB per cell
raw total energy: -5.367 eV per atom



7.
PmSc5Sn6 | GGA-PBE | optimized geometry

Lattice parameters (Å, degrees): 8.050 5.891 7.888 68.07 79.06 59.45
Sites, in units of the cell vectors:
Sn1 0.272 0.544 0.348
Sn2 0.232 0.295 0.000
Sn3 0.272 0.892 0.652
Sn4 0.728 0.108 0.348
Sn5 0.768 0.705 0.000
Sn6 0.728 0.456 0.652
Sc1 0.500 0.849 0.301
Sc2 0.000 0.675 0.650
Sc3 0.500 0.151 0.699
Sc4 0.000 0.325 0.350
Sc5 0.500 0.500 0.000
Pm1 0.000 0.000 0.000

crystal system: monoclinic
Fermi-level density of states: 8.0 states/eV/cell
magnetization: 0.00 μB per cell
raw total energy: -5.588 eV per atom



8.
Pm4ScSn5 | GGA-PBE | optimized geometry

Lattice parameters (Å, degrees): 3.474 3.474 22.362 90.00 90.00 90.00
Sites, in units of the cell vectors:
Pm1 0.000 0.000 0.807
Pm2 0.000 0.000 0.398
Pm3 0.000 0.000 0.193
Pm4 0.000 0.000 0.602
Sn1 0.500 0.500 0.911
Sn2 0.500 0.500 0.500
Sn3 0.500 0.500 0.295
Sn4 0.500 0.500 0.705
Sn5 0.500 0.500 0.089
Sc1 0.000 0.000 0.000

crystal system: tetragonal
Fermi-level density of states: 7.7 states/eV/cell
magnetization: 0.00 μB per cell
raw total energy: -5.179 eV per atom



Question: The highest magnetization belongs to which entry?
Answer: PmSc2Sn